## ZrCdAs2W (PBE)

Data for crystalline ZrCdAs2W at its relaxed geometry.

## Properties
**Calculated formation energy**: 0.508 eV per atom
**Crystal system**: tetragonal

Structure (CIF):
```
data_ZrCdAs2W
_chemical_formula_sum 'Zr1 Cd1 As2 W1'
_space_group_name_H-M_alt 'P 4/m m m'
_space_group_IT_number 123
_space_group_name_Hall '-P 4 2'
_cell_length_a 4.8380
_cell_length_b 4.8380
_cell_length_c 5.3575
_cell_angle_alpha 90.00
_cell_angle_beta 90.00
_cell_angle_gamma 90.00
loop_
_atom_site_label
_atom_site_fract_x
_atom_site_fract_y
_atom_site_fract_z
_atom_site_occupancy
Zr1 0.0000 0.0000 0.0000 1
Cd1 0.5000 0.5000 0.0000 1
As1 0.0000 0.5000 0.5000 1
W1 0.0000 0.0000 0.5000 1
```